## CaTb2Pd (PBE-GGA)

Data for CaTb2Pd after structural relaxation.

Output
The value obtained for the polymorph energy (0 for the lowest one) is 105 meV per atom. Its energy of formation from the pure elements is -0.300 eV/atom. As for the total magnetization: 0.00 μB/f.u. Its space group is No. 166. As for the calculated density: 5.763 Mg/m³. Its density of states at the Fermi level is 3.9 states/eV/cell.

Cell and atoms, written as POSCAR:
```
CaTb2Pd
1.0
2.0278 1.1708 9.3933
-2.0278 1.1708 9.3933
0.0000 -2.3415 9.3933
Ca Tb Pd
1 2 1
Direct
0.0000 0.0000 0.0000 Ca
0.2219 0.2219 0.2219 Tb
0.7781 0.7781 0.7781 Tb
0.5000 0.5000 0.5000 Pd
```

=====

## Ca2TbPd (PBE-GGA)

Data for Ca2TbPd after structural relaxation.

Output
Its energy of formation from the pure elements is 0.174 eV/atom. As for the total magnetization: 0.00 μB/f.u. Its space group is No. 166. As for the calculated density: 4.703 Mg/m³. Its density of states at the Fermi level is 3.8 states/eV/cell.

Cell and atoms, written as POSCAR:
```
Ca2TbPd
1.0
1.7551 1.0133 11.4309
-1.7551 1.0133 11.4309
0.0000 -2.0267 11.4309
Ca Tb Pd
2 1 1
Direct
0.0766 0.0766 0.0766 Ca
0.9234 0.9234 0.9234 Ca
0.5000 0.5000 0.5000 Tb
0.0000 0.0000 0.0000 Pd
```

=====

Calculated values (eV/cell) of VASP energy for the records, taken in order: -17.65, -13.13.